# Tl2FeBr4

An optimized crystal structure of Tl2FeBr4 (PBE, the Alexandria database).

abc: 9.034 9.034 9.034
angles: 146.21 146.21 48.54
Element x y z (fractional)
1 Tl 0.139 0.139 0.000
2 Tl 0.861 0.861 0.000
3 Fe 0.500 0.500 0.000
4 Br 0.000 0.500 0.500
5 Br 0.342 0.342 0.000
6 Br 0.500 0.000 0.500
7 Br 0.658 0.658 0.000

Values from the calculation:
total DFT energy (no corrections): -3.4549 eV per atom
DOS(E_F): 5.52 states/eV/f.u.
spin magnetization: 4.0 μB per formula unit
raw formation energy: -613.9 meV per atom